Entry from the Alexandria database: a relaxed Sc6FeCo crystal (GGA-PBE).

Structure (POSCAR):
```
Sc6FeCo
1.0
-2.2391 2.2391 8.0375
2.2391 -2.2391 8.0375
2.2391 2.2391 -8.0375
Sc Fe Co
6 1 1
Direct
0.0934 0.5934 0.5000 Sc
0.2472 0.2472 0.0000 Sc
0.4066 0.9066 0.5000 Sc
0.5934 0.0934 0.5000 Sc
0.7528 0.7528 0.0000 Sc
0.9066 0.4066 0.5000 Sc
0.0000 0.0000 0.0000 Fe
0.5000 0.5000 0.0000 Co
```

## Properties
V in Å³ per cell: 161
Density in g cm⁻³: 3.96
Calculated formation energy in eV/atom: -0.094
SG: I4/mmm
E above lowest polymorph in meV/atom: 0.0